# Ba2PrUS6

Crystalline Ba2PrUS6 at its relaxed geometry (GGA-PBE, Alexandria via LeMat-Bulk).

Computed properties:
Theoretical density in g/cm³: 4.826
Density of states at the Fermi level in states/eV per atom: 0.05
Energy relative to the elements, uncorrected in eV/f.u.: -18.558
Symmetry: P2_1/c, No. 14
E in eV per atom: -6.324

Lattice parameters (Å, degrees): 7.2947 7.6115 10.4849 90.00 90.20 90.00
With the nearest neighbours (Å) after each atom.
Sites, in units of the cell vectors:
S (0.2115, 0.1930, 0.4519)  1 U 2.61, 1 Pr 2.85
S (0.9059, 0.5264, 0.2394)  1 U 2.61, 1 Pr 2.82
S (0.6900, 0.2868, 0.5515)  1 U 2.64, 1 Pr 2.84
S (0.0941, 0.4736, 0.7606)  1 U 2.61, 1 Pr 2.82
S (0.5941, 0.0264, 0.2606)  1 U 2.61, 1 Pr 2.82
S (0.7885, 0.8070, 0.5481)  1 U 2.61, 1 Pr 2.85
S (0.1900, 0.2132, 0.0515)  1 U 2.64, 1 Pr 2.84
S (0.8100, 0.7868, 0.9485)  1 U 2.64, 1 Pr 2.84
S (0.3100, 0.7132, 0.4485)  1 U 2.64, 1 Pr 2.84
S (0.4059, 0.9736, 0.7394)  1 U 2.61, 1 Pr 2.82
S (0.2885, 0.6930, 0.0481)  1 U 2.61, 1 Pr 2.85
S (0.7115, 0.3070, 0.9519)  1 U 2.61, 1 Pr 2.85
Ba (0.5189, 0.5647, 0.7503)  6 S 3.18-3.43
Ba (0.9811, 0.0647, 0.7497)  6 S 3.18-3.43
Ba (0.0189, 0.9353, 0.2503)  6 S 3.18-3.43
Ba (0.4811, 0.4353, 0.2497)  6 S 3.18-3.43
U (0.0000, 0.5000, 0.0000)  6 S 2.61-2.64
U (0.5000, 0.0000, 0.5000)  6 S 2.61-2.64
Pr (0.0000, 0.5000, 0.5000)  6 S 2.82-2.85
Pr (0.5000, 0.0000, 0.0000)  6 S 2.82-2.85